No. 1
Computed, not measured: a relaxed NaLi2OsO4 crystal at the PBE level of DFT. Values from VASP.

Its crystal system is tetragonal.

Quantum ESPRESSO input file:
```
&SYSTEM
  ibrav = 0, nat = 8, ntyp = 4
/
ATOMIC_SPECIES
Na 22.99 Na.upf
Li 6.94 Li.upf
Os 190.23 Os.upf
O 16.00 O.upf
CELL_PARAMETERS angstrom
-2.6841 2.6841 3.3929
2.6841 -2.6841 3.3929
2.6841 2.6841 -3.3929
ATOMIC_POSITIONS crystal
Na 0.0000 0.0000 0.0000
Li 0.2500 0.7500 0.5000
Li 0.7500 0.2500 0.5000
Os 0.5000 0.5000 0.0000
O 0.1602 0.1602 0.5590
O 0.3988 0.8398 0.0000
O 0.6012 0.6012 0.4410
O 0.8398 0.3988 0.0000
```

=====

No. 2
Computed, not measured: a relaxed Na2LiOsO6 crystal at the PBE level of DFT. Values from VASP.

Its crystal system is monoclinic.

Quantum ESPRESSO input file:
```
&SYSTEM
  ibrav = 0, nat = 20, ntyp = 4
/
ATOMIC_SPECIES
Na 22.99 Na.upf
Li 6.94 Li.upf
Os 190.23 Os.upf
O 16.00 O.upf
CELL_PARAMETERS angstrom
5.4916 0.0000 0.0000
0.0000 5.5675 0.0000
-5.4859 0.0000 7.7764
ATOMIC_POSITIONS crystal
Na 0.2464 0.0322 0.2497
Na 0.2464 0.4678 0.7497
Na 0.7536 0.5322 0.2503
Na 0.7536 0.9678 0.7503
Li 0.0000 0.0000 0.5000
Li 0.0000 0.5000 0.0000
Os 0.5000 0.0000 0.0000
Os 0.5000 0.5000 0.5000
O 0.1958 0.1916 0.9711
O 0.1958 0.3084 0.4711
O 0.2778 0.7253 0.9674
O 0.2778 0.7747 0.4674
O 0.3236 0.0151 0.7640
O 0.3236 0.4849 0.2640
O 0.6764 0.5151 0.7360
O 0.6764 0.9849 0.2360
O 0.7222 0.2253 0.5326
O 0.7222 0.2747 0.0326
O 0.8042 0.6916 0.5289
O 0.8042 0.8084 0.0289
```

=====

No. 3
Computed, not measured: a relaxed Na2LiOsO4 crystal at the PBE level of DFT. Values from VASP.

Its crystal system is tetragonal.

Quantum ESPRESSO input file:
```
&SYSTEM
  ibrav = 0, nat = 8, ntyp = 4
/
ATOMIC_SPECIES
Na 22.99 Na.upf
Li 6.94 Li.upf
Os 190.23 Os.upf
O 16.00 O.upf
CELL_PARAMETERS angstrom
-2.8399 2.8399 3.2943
2.8399 -2.8399 3.2943
2.8399 2.8399 -3.2943
ATOMIC_POSITIONS crystal
Na 0.0000 0.0000 0.0000
Na 0.7500 0.2500 0.5000
Li 0.2500 0.7500 0.5000
Os 0.5000 0.5000 0.0000
O 0.2782 0.7135 0.8798
O 0.2865 0.1663 0.5648
O 0.6016 0.7218 0.4352
O 0.8337 0.3984 0.1202
```

=====

What ΔE_f (raw) values result from the calculations? In sequence: -1379 -1219 -1365 meV/atom.